A relaxed structure of Ca2GaTe, computed with PBE-GGA.

Structure (CIF):
```
data_Ca2GaTe
_space_group_name_H-M_alt 'F m -3 m'
_space_group_IT_number 225
_space_group_name_Hall '-F 4 2 3'
_cell_length_a 7.6446
_cell_length_b 7.6446
_cell_length_c 7.6446
_cell_angle_alpha 90.00
_cell_angle_beta 90.00
_cell_angle_gamma 90.00
loop_
_atom_site_label
_atom_site_fract_x
_atom_site_fract_y
_atom_site_fract_z
Ca1 0.2500 0.2500 0.2500
Ga1 0.0000 0.0000 0.0000
Te1 0.0000 0.0000 0.5000
```

Properties
As for the total DFT energy (no corrections): -3.198 eV/atom. As for the energy above the most stable polymorph in this dataset: 100.1 meV per atom. Its density of states at the Fermi level is 14.1 states/eV/cell. The formation energy (no corrections) is -655 meV/atom.

---

A relaxed structure of Ca4GaTe2, computed with PBE-GGA.

Structure (CIF):
```
data_Ca4GaTe2
_space_group_name_H-M_alt 'I 4/m m m'
_space_group_IT_number 139
_space_group_name_Hall '-I 4 2'
_cell_length_a 5.4617
_cell_length_b 5.4617
_cell_length_c 16.4845
_cell_angle_alpha 90.00
_cell_angle_beta 90.00
_cell_angle_gamma 90.00
loop_
_atom_site_label
_atom_site_fract_x
_atom_site_fract_y
_atom_site_fract_z
Ca1 0.0000 0.0000 0.1753
Ca2 0.0000 0.5000 0.0000
Ga1 0.0000 0.0000 0.0000
Te1 0.0000 0.0000 0.3624
```

Properties
As for the total DFT energy (no corrections): -3.243 eV/atom. Its density of states at the Fermi level is 8.2 states/eV/cell. The formation energy (no corrections) is -769 meV/atom.

---

A relaxed structure of Ca2Ga2Te, computed with PBE-GGA.

Structure (CIF):
```
data_Ca2Ga2Te
_space_group_name_H-M_alt 'I 4/m m m'
_space_group_IT_number 139
_space_group_name_Hall '-I 4 2'
_cell_length_a 5.1142
_cell_length_b 5.1142
_cell_length_c 11.3163
_cell_angle_alpha 90.00
_cell_angle_beta 90.00
_cell_angle_gamma 90.00
loop_
_atom_site_label
_atom_site_fract_x
_atom_site_fract_y
_atom_site_fract_z
Ca1 0.0000 0.5000 0.2500
Ga1 0.0000 0.0000 0.1032
Te1 0.0000 0.0000 0.5000
```

Properties
As for the total DFT energy (no corrections): -2.855 eV/atom. As for the energy above the most stable polymorph in this dataset: 341.1 meV per atom. Its density of states at the Fermi level is 5.1 states/eV/cell. The formation energy (no corrections) is -216 meV/atom.

---

A relaxed structure of CaGaTe2, computed with PBE-GGA.

Structure (CIF):
```
data_CaGaTe2
_space_group_name_H-M_alt 'R -3 m'
_space_group_IT_number 166
_space_group_name_Hall '-R 3 2"'
_cell_length_a 4.8496
_cell_length_b 4.8496
_cell_length_c 25.4109
_cell_angle_alpha 90.00
_cell_angle_beta 90.00
_cell_angle_gamma 120.00
loop_
_atom_site_label
_atom_site_fract_x
_atom_site_fract_y
_atom_site_fract_z
Ca1 0.0000 0.0000 0.0000
Ga1 0.0000 0.0000 0.5000
Te1 0.0000 0.0000 0.3942
```

Properties
As for the total DFT energy (no corrections): -3.365 eV/atom. Its density of states at the Fermi level is 15.2 states/eV/cell. The formation energy (no corrections) is -537 meV/atom.

---

A relaxed structure of Ca2GaTe2, computed with PBE-GGA.

Structure (CIF):
```
data_Ca2GaTe2
_space_group_name_H-M_alt 'P 4/m b m'
_space_group_IT_number 127
_space_group_name_Hall '-P 4 2ab'
_cell_length_a 8.5816
_cell_length_b 8.5816
_cell_length_c 4.0974
_cell_angle_alpha 90.00
_cell_angle_beta 90.00
_cell_angle_gamma 90.00
loop_
_atom_site_label
_atom_site_fract_x
_atom_site_fract_y
_atom_site_fract_z
Ca1 0.1524 0.3476 0.0000
Ga1 0.0000 0.0000 0.5000
Te1 0.1529 0.6529 0.5000
```

Properties
As for the total DFT energy (no corrections): -3.687 eV/atom. Its density of states at the Fermi level is 1.5 states/eV/cell. The formation energy (no corrections) is -1024 meV/atom.

---

A relaxed structure of Ca2GaTe, computed with PBE-GGA.

Structure (CIF):
```
data_Ca2GaTe
_space_group_name_H-M_alt 'I -4 2 d'
_space_group_IT_number 122
_space_group_name_Hall 'I -4 2bw'
_cell_length_a 8.2507
_cell_length_b 8.2507
_cell_length_c 7.3944
_cell_angle_alpha 90.00
_cell_angle_beta 90.00
_cell_angle_gamma 90.00
loop_
_atom_site_label
_atom_site_fract_x
_atom_site_fract_y
_atom_site_fract_z
Ca1 0.2465 0.2500 0.1250
Ga1 0.0000 0.0000 0.0000
Te1 0.0000 0.0000 0.5000
```

Properties
As for the total DFT energy (no corrections): -3.167 eV/atom. As for the energy above the most stable polymorph in this dataset: 131.1 meV per atom. Its density of states at the Fermi level is 7.7 states/eV/cell. The formation energy (no corrections) is -624 meV/atom.